Record 1
Material: KAsPt2
Method: DFT, meta-GGA SCAN
State: PBEsol geometry

a b c (Å): 3.988 3.988 5.870
angles (deg): 90.00 90.00 90.00
Atoms (fractional coordinates):
Pt  0.500  0.000  0.183
Pt  0.000  0.500  0.183
As  0.000  0.000  0.405
K  0.500  0.500  0.728

Space group: No. 99
ρ, g/cm3: 8.97

---

Record 2
Material: Ni2AgAu
Method: DFT, meta-GGA SCAN
State: PBEsol geometry

a b c (Å): 2.734 4.499 4.798
angles (deg): 106.18 106.55 90.00
Site moments in Bohr magnetons follow the coordinates.
Atoms (fractional coordinates):
Ag  0.488  0.468  0.977  -0.02
Au  0.263  0.783  0.525  0.02
Ni  0.017  0.991  0.034  0.81
Ni  0.732  0.258  0.464  0.65

Space group: No. 8
ρ, g/cm3: 12.95

---

For each record above, in turn, the calculated DFT formation energy values are -468 160 meV/atom.